*i*
Computed, not measured: an optimized crystal structure of Zr2CdS at the PBE-GGA level of DFT.

Geometry as CIF:
```
data_Zr2CdS
_chemical_formula_sum 'Zr8 Cd4 S4'
_cell_length_a 6.804
_cell_length_b 6.804
_cell_length_c 6.804
_cell_angle_alpha 90.00
_cell_angle_beta 90.00
_cell_angle_gamma 90.00
_space_group_name_H-M_alt 'F m -3 m'
_space_group_IT_number 225
_space_group_name_Hall '-F 4 2 3'
loop_
_atom_site_label
_atom_site_type_symbol
_atom_site_fract_x
_atom_site_fract_y
_atom_site_fract_z
_atom_site_occupancy
Zr1 Zr 0.250 0.250 0.250 1
Cd1 Cd 0.000 0.000 0.000 1
S1 S 0.000 0.000 0.500 1
```


*ii*
Computed, not measured: an optimized crystal structure of Zr2CdS at the PBE-GGA level of DFT.

Geometry as CIF:
```
data_Zr2CdS
_chemical_formula_sum 'Zr6 Cd3 S3'
_cell_length_a 3.5944
_cell_length_b 3.5944
_cell_length_c 22.6940
_cell_angle_alpha 90.00
_cell_angle_beta 90.00
_cell_angle_gamma 120.00
_space_group_name_H-M_alt 'R 3 m'
_space_group_IT_number 160
_space_group_name_Hall 'R 3 -2"'
loop_
_atom_site_label
_atom_site_type_symbol
_atom_site_fract_x
_atom_site_fract_y
_atom_site_fract_z
_atom_site_occupancy
Zr1 Zr 0.0000 0.0000 0.0000 1
Zr2 Zr 0.0000 0.0000 0.2086 1
Cd1 Cd 0.0000 0.0000 0.4368 1
S1 S 0.0000 0.0000 0.6044 1
```


The most stable arrangement is *ii*, and the next structure is 504 meV per atom less stable.